Record 1
Here is a crystal of Sr3Rh relaxed with PBEsol from Alexandria via LeMat-Bulk. Energies are from SCAN.

Unit cell a=5.555 b=5.555 c=5.555 alpha=60.00 beta=60.00 gamma=60.00
Sites, in units of the cell vectors:
Sr 0.000 0.000 0.000
Sr 0.250 0.250 0.250
Sr 0.750 0.750 0.750
Rh 0.500 0.500 0.500

energy of formation from the pure elements = 0.22 eV/atom
density of states at the Fermi level = 4.10 states/eV per cell

***

Record 2
Here is a crystal of Sr2Rh relaxed with PBEsol from Alexandria via LeMat-Bulk. Energies are from SCAN.

Unit cell a=7.263 b=7.263 c=7.263 alpha=90.00 beta=90.00 gamma=90.00
Sites, in units of the cell vectors:
Sr 0.165 0.165 0.165
Sr 0.165 0.335 0.665
Sr 0.335 0.665 0.165
Sr 0.335 0.835 0.665
Sr 0.665 0.165 0.335
Sr 0.665 0.335 0.835
Sr 0.835 0.665 0.335
Sr 0.835 0.835 0.835
Rh 0.000 0.000 0.500
Rh 0.000 0.500 0.000
Rh 0.500 0.000 0.000
Rh 0.500 0.500 0.500

energy of formation from the pure elements = -0.15 eV/atom
density of states at the Fermi level = 10.01 states/eV per cell

***

Record 3
Here is a crystal of Sr3Rh2 relaxed with PBEsol from Alexandria via LeMat-Bulk. Energies are from SCAN.

Unit cell a=6.381 b=6.381 c=6.381 alpha=47.60 beta=47.60 gamma=47.60
Sites, in units of the cell vectors:
Sr 0.000 0.000 0.000
Sr 0.226 0.226 0.226
Sr 0.774 0.774 0.774
Rh 0.425 0.425 0.425
Rh 0.575 0.575 0.575

energy of formation from the pure elements = -0.15 eV/atom
density of states at the Fermi level = 1.48 states/eV per cell

***

Record 4
Here is a crystal of SrRh relaxed with PBEsol from Alexandria via LeMat-Bulk. Energies are from SCAN.

Unit cell a=5.809 b=5.809 c=6.105 alpha=97.50 beta=97.50 gamma=45.89
Sites, in units of the cell vectors:
Sr 0.000 0.000 0.000
Sr 0.284 0.284 0.721
Sr 0.716 0.716 0.279
Rh 0.000 0.000 0.500
Rh 0.423 0.423 0.318
Rh 0.577 0.577 0.682

energy of formation from the pure elements = -0.18 eV/atom
density of states at the Fermi level = 2.57 states/eV per cell

***

Record 5
Here is a crystal of SrRh relaxed with PBEsol from Alexandria via LeMat-Bulk. Energies are from SCAN.

Unit cell a=4.342 b=4.342 c=8.267 alpha=104.76 beta=104.76 gamma=57.80
Sites, in units of the cell vectors:
Sr 0.078 0.078 0.247
Sr 0.922 0.922 0.753
Rh 0.341 0.341 0.000
Rh 0.659 0.659 0.000

energy of formation from the pure elements = -0.26 eV/atom
density of states at the Fermi level = 3.84 states/eV per cell

***

Record 6
Here is a crystal of Sr2Rh relaxed with PBEsol from Alexandria via LeMat-Bulk. Energies are from SCAN.

Unit cell a=5.089 b=5.089 c=5.089 alpha=60.00 beta=60.00 gamma=60.00
Sites, in units of the cell vectors:
Sr 0.250 0.250 0.250
Sr 0.750 0.750 0.750
Rh 0.000 0.000 0.000

energy of formation from the pure elements = -0.15 eV/atom
density of states at the Fermi level = 3.14 states/eV per cell

***

Record-wise magnetic moment values, in μB per cell: 0.00, 0.00, 0.00, 0.28, 0.97, 0.00